A relaxed BaTl2Rh crystal. Source: the Alexandria database, functional PBE.

Cell: 5.390 5.390 5.390 Å, 60.00 60.00 60.00°
Atoms (fractional coordinates):
Tl 0.000 0.000 0.000
Tl 0.750 0.750 0.750
Rh 0.250 0.250 0.250
Ba 0.500 0.500 0.500

Output
E_tot = -3.44 eV/atom
total moment = 0.000 μB/f.u.
E_form = 0.06 eV/atom

A relaxed LaSn2PI crystal. Source: the Alexandria database, functional PBE.

Cell: 5.221 5.770 5.221 Å, 90.00 90.00 90.00°
Atoms (fractional coordinates):
I 0.000 0.500 0.000
P 0.000 0.000 0.000
Sn 0.500 0.000 0.000
La 0.500 0.500 0.500
Sn 0.000 0.000 0.500

Output
E_tot = -3.93 eV/atom
E_form (uncorrected) = 0.050 eV per atom
total moment = 0.000 μB/f.u.

A relaxed NdEuTmMg crystal. Source: the Alexandria database, functional PBE.

Cell: 5.649 5.649 5.649 Å, 60.00 60.00 60.00°
Atoms (fractional coordinates):
Eu 0.500 0.500 0.500
Tm 0.250 0.250 0.250
Nd 0.000 0.000 0.000
Mg 0.750 0.750 0.750

Output
E_tot = -5.22 eV/atom
total moment = 7.142 μB/f.u.
E_form = 0.05 eV/atom

A relaxed CuSbSe2 crystal. Source: the Alexandria database, functional PBE.

Cell: 3.247 3.247 8.940 Å, 90.00 90.00 104.44°
Atoms (fractional coordinates):
Se 0.500 0.500 0.341
Sb 0.500 0.500 0.711
Se 0.000 0.000 0.957
Cu 0.000 0.000 0.490

Output
E_tot = -3.54 eV/atom
E_form (uncorrected) = 0.257 eV per atom
total moment = 0.000 μB/f.u.

A relaxed CdSiN3 crystal. Source: the Alexandria database, functional PBE.

Cell: 3.678 3.678 3.678 Å, 90.00 90.00 90.00°
Atoms (fractional coordinates):
Cd 0.500 0.500 0.500
N 0.000 0.500 0.000
N 0.000 0.000 0.500
N 0.500 0.000 0.000
Si 0.000 0.000 0.000

Output
E_tot = -5.52 eV/atom
E_form (uncorrected) = 0.743 eV per atom
total moment = 1.070 μB/f.u.

A relaxed AcScPO2 crystal. Source: the Alexandria database, functional PBE.

Cell: 3.956 6.477 7.298 Å, 90.00 90.00 107.78°
Atoms (fractional coordinates):
Ac 0.272 0.544 0.250
Ac 0.728 0.456 0.750
O 0.162 0.323 0.950
Sc 0.000 0.000 0.500
P 0.538 0.075 0.250
O 0.162 0.323 0.550
Sc 0.000 0.000 0.000
O 0.838 0.677 0.450
P 0.462 0.925 0.750
O 0.838 0.677 0.050

Output
E_tot = -7.63 eV/atom
E_form (uncorrected) = -2.473 eV per atom
total moment = 0.595 μB/f.u.

A relaxed TbDy2Ho2Tl crystal. Source: the Alexandria database, functional PBE.

Cell: 5.546 10.091 6.532 Å, 90.00 90.00 90.00°
Atoms (fractional coordinates):
Ho 0.000 0.372 0.699
Tb 0.000 0.000 0.500
Dy 0.500 0.199 0.703
Ho 0.000 0.628 0.301
Dy 0.000 0.301 0.203
Dy 0.500 0.801 0.297
Ho 0.500 0.128 0.199
Ho 0.500 0.872 0.801
Tb 0.500 0.500 0.000
Tl 0.500 0.500 0.500
Dy 0.000 0.699 0.797
Tl 0.000 0.000 0.000

Output
E_tot = -4.20 eV/atom
total moment = 0.000 μB/f.u.
E_form = 0.03 eV/atom

A relaxed Ca2TlBi3 crystal. Source: the Alexandria database, functional PBE.

Cell: 5.035 7.016 10.931 Å, 103.68 90.00 90.00°
Atoms (fractional coordinates):
Bi 0.750 0.801 0.912
Bi 0.750 0.196 0.587
Bi 0.250 0.804 0.413
Tl 0.250 0.998 0.751
Ca 0.750 0.300 0.907
Ca 0.750 0.698 0.593
Bi 0.750 0.502 0.251
Ca 0.250 0.302 0.407
Bi 0.250 0.199 0.088
Ca 0.250 0.700 0.093
Bi 0.250 0.498 0.749
Tl 0.750 0.002 0.249

Output
E_tot = -3.52 eV/atom
total moment = 0.000 μB/f.u.
E_form = -0.52 eV/atom
ΔE to the lowest computed polymorph = 0.0000 eV/atom

A relaxed Ac4PtAuBr2 crystal. Source: the Alexandria database, functional PBE.

Cell: 4.546 7.817 8.543 Å, 107.79 90.00 90.00°
Atoms (fractional coordinates):
Br 0.500 0.000 0.500
Au 0.000 0.000 0.000
Ac 0.500 0.756 0.800
Br 0.000 0.500 0.500
Ac 0.000 0.274 0.799
Ac 0.000 0.726 0.201
Pt 0.500 0.500 0.000
Ac 0.500 0.244 0.200

Output
E_tot = -4.83 eV/atom
E_form (uncorrected) = -1.191 eV per atom
total moment = 0.000 μB/f.u.

A relaxed SbW2Br crystal. Source: the Alexandria database, functional PBE.

Cell: 10.256 10.256 10.256 Å, 18.19 18.19 18.19°
Atoms (fractional coordinates):
Br 0.525 0.525 0.525
W 0.986 0.986 0.986
W 0.260 0.260 0.260
Sb 0.729 0.729 0.729

Output
E_tot = -7.58 eV/atom
E_form (uncorrected) = 0.344 eV per atom
total moment = 0.000 μB/f.u.
ΔE to the lowest computed polymorph = 0.1441 eV/atom

A relaxed Nd2Er3Sc crystal. Source: the Alexandria database, functional PBE.

Cell: 4.968 10.037 9.329 Å, 122.54 105.44 90.00°
Atoms (fractional coordinates):
Er 0.164 0.414 0.329
Er 0.500 0.750 0.000
Nd 0.662 0.662 0.324
Er 0.836 0.586 0.671
Er 0.164 0.914 0.329
Nd 0.338 0.838 0.676
Nd 0.662 0.162 0.324
Er 0.500 0.250 0.000
Nd 0.338 0.338 0.676
Er 0.836 0.086 0.671
Sc 0.000 0.000 0.000
Sc 0.000 0.500 0.000

Output
E_tot = -4.89 eV/atom
total moment = 0.001 μB/f.u.
E_form = 0.04 eV/atom
ΔE to the lowest computed polymorph = 0.0000 eV/atom